Density functional theory data (GGA+U) for a relaxed structure of In2MoF8.

a = 6.831 Å, b = 6.831 Å, c = 4.344 Å
α = 90.00°, β = 90.00°, γ = 120.00°
Atoms (fractional coordinates):
In  0.333  0.667  0.258
In  0.667  0.333  0.742
Mo  0.000  0.000  0.500
F  0.152  0.307  0.251
F  0.154  0.848  0.251
F  0.307  0.154  0.749
F  0.333  0.667  0.759
F  0.667  0.333  0.241
F  0.693  0.846  0.251
F  0.846  0.152  0.749
F  0.848  0.693  0.749

Results
VASP energy in eV per atom: -4.81
Calculated density in g/cm3: 4.52
Symmetry: P-3
Crystal system: trigonal